(1)
BaZnAs2 | PBE | relaxed

Computed properties:
Final energy (eV/atom): -3.65
Space-group type: P2/m, No. 10

```
BaZnAs2
1.0
-2.9771 -0.6720 2.7120
-0.7028 -4.5518 -1.8994
3.7265 -2.5949 3.4477
As Ba Zn
2 1 1
Cartesian
-0.4799 -3.7171 -1.4479 As
1.2890 -4.4080 0.3227 As
-0.7326 -2.1227 1.7431 Ba
0.7793 -5.6960 2.5172 Zn
```

---

(2)
BaZnAs | PBE | relaxed

Computed properties:
Final energy (eV/atom): -3.34
Space-group type: C2/m, No. 12

```
BaZnAs
1.0
-0.2103 4.2528 1.1423
-6.5627 -0.8782 2.0646
1.7295 -3.5290 4.9459
Ba Zn As
2 2 2
Cartesian
0.1860 -0.0206 5.0998 Ba
-3.7353 2.3390 4.1066 Ba
-3.5948 -2.8338 6.3736 Zn
0.2606 0.8991 1.6924 Zn
-3.0970 -0.3868 5.8620 As
-0.4559 2.7052 3.3433 As
```

---

(3)
BaZnAs2 | PBE | relaxed

Computed properties:
Final energy (eV/atom): -3.51
Space-group type: Cm, No. 8

```
BaZnAs2
1.0
-4.2990 -3.8024 -2.2111
-2.6371 -5.4371 1.1453
-3.7212 2.2194 2.9234
As Ba Zn
2 1 1
Cartesian
-6.6391 -8.8010 -0.9993 As
-8.5225 -4.2808 2.1348 As
-5.5323 -3.7867 0.8949 Ba
-2.2280 -2.9013 -0.3099 Zn
```

---

(4)
BaZrZnAs3 | PBE | relaxed

Computed properties:
Final energy (eV/atom): -5.06
Space-group type: P2_1/m, No. 11

```
BaZrZnAs3
1.0
4.0692 0.0000 0.0000
0.0000 8.6499 -0.7007
0.0000 -2.9954 9.0151
Ba Zr Zn As
2 2 2 6
Cartesian
1.0173 1.1994 2.0967 Ba
3.0519 4.4550 6.2176 Ba
1.0173 5.4763 0.7606 Zr
3.0519 0.1781 7.5538 Zr
1.0173 -0.9791 5.3461 Zn
3.0519 6.6336 2.9683 Zn
3.0519 7.3353 0.5725 As
1.0173 -1.6808 7.7418 As
1.0173 5.2042 3.5393 As
3.0519 0.4502 4.7751 As
3.0519 3.6125 1.2007 As
1.0173 2.0419 7.1137 As
```